Density functional theory data (SCAN) for a PBEsol-optimized structure of Al2TcTe.

POSCAR file:
```
Al2TcTe
1.0
3.139 0.000 0.000
-1.570 4.402 -0.043
0.000 -1.863 5.997
Tc Al Te
1 2 1
Cartesian
0.000 2.982 3.664
0.000 0.529 4.013
1.570 2.531 5.588
1.570 2.506 1.597
```

Results
**Space group**: No. 8
**Density**: 5.62 Mg/m³
**Fermi-level density of states**: 0.498 states/eV/atom
**Uncorrected formation energy**: -0.059 eV/atom
**DFT total energy**: -88.0 eV/cell